1.
Entry from Alexandria via LeMat-Bulk: an optimized crystal structure of MgRe2Br (PBE).

abc: 2.7877 2.7877 8.7578
angles: 90.00 90.00 90.00
Atoms (fractional coordinates):
Mg  0.0000  0.0000  0.0000
Re  0.5000  0.5000  0.2480
Re  0.5000  0.5000  0.7520
Br  0.0000  0.0000  0.5000

Summary:
* formation energy from raw total energies: 1.197 eV/atom
* energy above the lowest structure with this stoichiometry: 1.0415 eV/atom



2.
Entry from Alexandria via LeMat-Bulk: an optimized crystal structure of Nd2Dy2Sc7 (PBE).

abc: 6.1062 6.1062 9.1220
angles: 90.28 90.28 116.00
Atoms (fractional coordinates):
Nd  0.1668  0.1668  0.2464
Nd  0.8332  0.8332  0.7536
Dy  0.2100  0.7900  0.5000
Dy  0.7900  0.2100  0.5000
Sc  0.0509  0.6284  0.1461
Sc  0.3499  0.3499  0.6395
Sc  0.3716  0.9491  0.8539
Sc  0.5000  0.5000  0.0000
Sc  0.6284  0.0509  0.1461
Sc  0.6501  0.6501  0.3605
Sc  0.9491  0.3716  0.8539

Summary:
* ΔH_f (0 K): 134 meV per atom



3.
Entry from Alexandria via LeMat-Bulk: an optimized crystal structure of HoB4Rh (PBE).

abc: 5.9513 11.5375 3.5603
angles: 90.00 90.00 90.00
Atoms (fractional coordinates):
Ho  0.1311  0.1488  0.0000
Ho  0.3689  0.6488  0.0000
Ho  0.6311  0.3512  0.0000
Ho  0.8689  0.8512  0.0000
B  0.0226  0.6930  0.5000
B  0.1124  0.5471  0.5000
B  0.1358  0.9692  0.5000
B  0.2096  0.8128  0.5000
B  0.2904  0.3128  0.5000
B  0.3642  0.4692  0.5000
B  0.3876  0.0471  0.5000
B  0.4774  0.1930  0.5000
B  0.5226  0.8070  0.5000
B  0.6124  0.9529  0.5000
B  0.6358  0.5308  0.5000
B  0.7096  0.6872  0.5000
B  0.7904  0.1872  0.5000
B  0.8642  0.0308  0.5000
B  0.8876  0.4529  0.5000
B  0.9774  0.3070  0.5000
Rh  0.1419  0.4054  0.0000
Rh  0.3581  0.9054  0.0000
Rh  0.6419  0.0946  0.0000
Rh  0.8581  0.5946  0.0000

Summary:
* ΔH_f (0 K): -623 meV per atom



4.
Entry from Alexandria via LeMat-Bulk: an optimized crystal structure of Pr2SmHg8 (PBE).

abc: 8.4935 8.4935 7.3378
angles: 109.23 109.23 35.08
Atoms (fractional coordinates):
Pr  0.2088  0.2088  0.1540
Pr  0.7912  0.7912  0.8460
Sm  0.5000  0.5000  0.5000
Hg  0.0189  0.0189  0.2281
Hg  0.1516  0.1516  0.6646
Hg  0.3313  0.3313  0.6053
Hg  0.4070  0.4070  0.0478
Hg  0.5930  0.5930  0.9522
Hg  0.6687  0.6687  0.3947
Hg  0.8484  0.8484  0.3354
Hg  0.9811  0.9811  0.7719

Summary:
* ΔH_f (0 K): -359 meV per atom
* energy above the lowest structure with this stoichiometry: 0.0000 eV/atom



5.
Entry from Alexandria via LeMat-Bulk: an optimized crystal structure of BaAc2Sn (PBE).

abc: 5.4608 5.4608 5.2219
angles: 90.00 90.00 90.00
Atoms (fractional coordinates):
Ba  0.0000  0.0000  0.0000
Ac  0.0000  0.5000  0.5000
Ac  0.5000  0.0000  0.5000
Sn  0.5000  0.5000  0.0000

Summary:
* ΔH_f (0 K): -259 meV per atom
* energy above the lowest structure with this stoichiometry: 0.0612 eV/atom



6.
Entry from Alexandria via LeMat-Bulk: an optimized crystal structure of Cd2GeAuSe4 (PBE).

abc: 7.4285 7.4237 6.1718
angles: 65.49 65.41 49.11
Atoms (fractional coordinates):
Cd  0.0000  0.0000  0.5000
Cd  0.5000  0.5000  0.0000
Ge  0.2500  0.2500  0.7500
Au  0.7496  0.7496  0.2504
Se  0.1227  0.6139  0.8773
Se  0.3779  0.8865  0.1135
Se  0.6139  0.1227  0.3861
Se  0.8865  0.3779  0.6221

Summary:
* formation energy from raw total energies: -0.310 eV/atom



7.
Entry from Alexandria via LeMat-Bulk: an optimized crystal structure of La2ZnPt (PBE).

abc: 7.8620 7.8620 7.8620
angles: 31.70 31.70 31.70
Atoms (fractional coordinates):
La  0.0000  0.0000  0.0000
La  0.1892  0.1892  0.1892
Zn  0.4289  0.4289  0.4289
Pt  0.5927  0.5927  0.5927

Summary:
* ΔH_f (0 K): -633 meV per atom



8.
Entry from Alexandria via LeMat-Bulk: an optimized crystal structure of BaLiCu2Br6 (PBE).

abc: 8.4553 8.4553 8.4553
angles: 49.87 49.87 49.87
Atoms (fractional coordinates):
Ba  0.0000  0.0000  0.0000
Li  0.5000  0.5000  0.5000
Cu  0.2420  0.2420  0.2420
Cu  0.7580  0.7580  0.7580
Br  0.1028  0.4473  0.7189
Br  0.2811  0.8972  0.5527
Br  0.4473  0.7189  0.1028
Br  0.5527  0.2811  0.8972
Br  0.7189  0.1028  0.4473
Br  0.8972  0.5527  0.2811

Summary:
* formation energy from raw total energies: -1.050 eV/atom